MgCuPt: relaxed, PBE-GGA.

a b c (Å): 2.9288 4.1960 4.4517
angles (deg): 89.88 90.00 89.85
Space group P-1 (No. 2)
One atom of each set of equivalent atoms:
Mg 0.0000 0.0000 0.0000 x1
Cu 0.0000 0.5000 0.5000 x1
Pt 0.5000 0.0000 0.5000 x1

Computed properties:
Relative energy among the computed polymorphs ... 0.39 eV per formula unit
Final energy ... -4.252 eV/atom

=====

Mg7Cu2Pt2: relaxed, PBE-GGA.

a b c (Å): 7.6289 9.3200 6.4241
angles (deg): 90.00 90.00 90.00
Space group Cmmm (No. 65)
One atom of each set of equivalent atoms:
Mg 0.0000 0.0000 0.0000 x2
Mg 0.0000 0.5000 0.2642 x4
Mg 0.2500 0.2500 0.2704 x8
Cu 0.1674 0.0000 0.5000 x4
Pt 0.0000 0.2830 0.0000 x4

Computed properties:
Final energy ... -3.066 eV/atom

=====

Mg2Cu2Pt3: relaxed, PBE-GGA.

a b c (Å): 3.8960 18.8357 2.8508
angles (deg): 90.00 90.00 90.00
Space group Cmmm (No. 65)
One atom of each set of equivalent atoms:
Mg 0.0000 0.0778 0.0000 x4
Cu 0.0000 0.2155 0.0000 x4
Pt 0.0000 0.3463 0.5000 x4
Pt 0.0000 0.5000 0.5000 x2

Computed properties:
Final energy ... -4.698 eV/atom

=====

Mg4CuPt: relaxed, PBE-GGA.

a b c (Å): 4.4654 4.4654 6.2401
angles (deg): 90.00 90.00 90.00
Space group P4/mmm (No. 123)
One atom of each set of equivalent atoms:
Mg 0.0000 0.5000 0.2460 x4
Cu 0.0000 0.0000 0.5000 x1
Pt 0.5000 0.5000 0.0000 x1

Computed properties:
Relative energy among the computed polymorphs ... 0.77 eV per formula unit
Final energy ... -3.052 eV/atom

=====

Mg4CuPt: relaxed, PBE-GGA.

a b c (Å): 7.6105 7.6105 7.6105
angles (deg): 90.00 90.00 90.00
Space group F-43m (No. 216)
One atom of each set of equivalent atoms:
Mg 0.1247 0.1247 0.1247 x16
Cu 0.0000 0.0000 0.5000 x4
Pt 0.2500 0.2500 0.7500 x4

Computed properties:
Relative energy among the computed polymorphs ... 3.39 eV per formula unit
Final energy ... -2.616 eV/atom

=====

MgCu2Pt: relaxed, PBE-GGA.

a b c (Å): 6.1101 6.1101 6.1101
angles (deg): 90.00 90.00 90.00
Space group F-43m (No. 216)
One atom of each set of equivalent atoms:
Mg 0.0000 0.0000 0.0000 x4
Cu 0.0000 0.0000 0.5000 x4
Cu 0.2500 0.2500 0.7500 x4
Pt 0.2500 0.2500 0.2500 x4

Computed properties:
Final energy ... -4.274 eV/atom

=====

Mg2CuPt2: relaxed, PBE-GGA.

a b c (Å): 7.4032 7.4032 3.0158
angles (deg): 90.00 90.00 90.00
Space group P4/mbm (No. 127)
One atom of each set of equivalent atoms:
Mg 0.1549 0.3451 0.0000 x4
Cu 0.0000 0.0000 0.5000 x2
Pt 0.1444 0.6444 0.5000 x4

Computed properties:
Relative energy among the computed polymorphs ... 0.00 eV per formula unit
Final energy ... -4.356 eV/atom

=====

MgCuPt4: relaxed, PBE-GGA.

a b c (Å): 7.4397 7.4397 7.4397
angles (deg): 90.00 90.00 90.00
Space group F-43m (No. 216)
One atom of each set of equivalent atoms:
Mg 0.0000 0.0000 0.0000 x4
Cu 0.2500 0.2500 0.2500 x4
Pt 0.1249 0.1249 0.6249 x16

Computed properties:
Final energy ... -5.188 eV/atom

=====

Mg8CuPt2: relaxed, PBE-GGA.

a b c (Å): 4.3941 7.5240 12.4120
angles (deg): 90.00 90.00 90.00
Space group Immm (No. 71)
One atom of each set of equivalent atoms:
Mg 0.0000 0.0000 0.1421 x4
Mg 0.0000 0.2165 0.3398 x8
Mg 0.0000 0.3151 0.0000 x4
Cu 0.0000 0.5000 0.5000 x2
Pt 0.0000 0.5000 0.1955 x4

Computed properties:
Relative energy among the computed polymorphs ... 0.05 eV per formula unit
Final energy ... -3.049 eV/atom

=====

MgCu3Pt: relaxed, PBE-GGA.

a b c (Å): 4.6926 4.6926 4.6926
angles (deg): 90.00 90.00 90.00
Space group Pm-3m (No. 221)
One atom of each set of equivalent atoms:
Mg 0.0000 0.0000 0.0000 x1
Cu 0.0000 0.5000 0.5000 x3
Pt 0.5000 0.5000 0.5000 x1

Computed properties:
Relative energy among the computed polymorphs ... 0.00 eV per formula unit
Final energy ... -3.417 eV/atom

=====

Mg3CuPt4: relaxed, PBE-GGA.

a b c (Å): 9.0038 5.9818 4.5558
angles (deg): 90.00 90.00 90.00
Space group Pmma (No. 51)
One atom of each set of equivalent atoms:
Mg 0.0000 0.0000 0.0000 x2
Mg 0.2500 0.0000 0.4439 x2
Mg 0.2500 0.5000 0.4317 x2
Cu 0.0000 0.5000 0.0000 x2
Pt 0.0000 0.2545 0.5000 x4
Pt 0.2500 0.2560 0.9349 x4

Computed properties:
Final energy ... -4.814 eV/atom

=====

Mg2Cu2Pt: relaxed, PBE-GGA.

a b c (Å): 6.5369 6.5369 3.7371
angles (deg): 90.00 90.00 90.00
Space group P4/mbm (No. 127)
One atom of each set of equivalent atoms:
Mg 0.1782 0.3218 0.0000 x4
Cu 0.1271 0.6271 0.5000 x4
Pt 0.0000 0.0000 0.5000 x2

Computed properties:
Relative energy among the computed polymorphs ... 0.00 eV per formula unit
Final energy ... -3.754 eV/atom

=====

MgCu2Pt: relaxed, PBE-GGA.

a b c (Å): 3.8598 3.8598 7.5785
angles (deg): 90.00 90.00 90.00
Space group I-4m2 (No. 119)
One atom of each set of equivalent atoms:
Mg 0.0000 0.0000 0.0000 x2
Cu 0.0000 0.0000 0.5000 x2
Cu 0.0000 0.5000 0.7500 x2
Pt 0.0000 0.5000 0.2500 x2

Computed properties:
Final energy ... -4.330 eV/atom

=====

MgCuPt: relaxed, PBE-GGA.

a b c (Å): 6.0236 6.0236 6.0236
angles (deg): 90.00 90.00 90.00
Space group F-43m (No. 216)
One atom of each set of equivalent atoms:
Mg 0.0000 0.0000 0.0000 x4
Cu 0.0000 0.0000 0.5000 x4
Pt 0.2500 0.2500 0.7500 x4

Computed properties:
Relative energy among the computed polymorphs ... 0.66 eV per formula unit
Final energy ... -4.160 eV/atom

=====

MgCu2Pt: relaxed, PBE-GGA.

a b c (Å): 9.1065 2.8697 4.5080
angles (deg): 90.00 102.90 90.00
Space group C2/m (No. 12)
One atom of each set of equivalent atoms:
Mg 0.0000 0.0000 0.0000 x2
Cu 0.2439 0.0000 0.7409 x4
Pt 0.0000 0.5000 0.5000 x2

Computed properties:
Final energy ... -4.262 eV/atom

=====

Mg6CuPt10: relaxed, PBE-GGA.

a b c (Å): 7.6114 7.6114 5.4455
angles (deg): 90.00 90.00 120.00
Space group P-31m (No. 162)
One atom of each set of equivalent atoms:
Mg 0.0000 0.3655 0.3021 x6
Cu 0.0000 0.0000 0.5000 x1
Pt 0.0000 0.2876 0.8197 x6
Pt 0.3333 0.6667 0.0000 x2
Pt 0.3333 0.6667 0.5000 x2

Computed properties:
Final energy ... -4.884 eV/atom

=====

Mg2Cu2Pt: relaxed, PBE-GGA.

a b c (Å): 3.8929 3.8929 10.8800
angles (deg): 90.00 90.00 90.00
Space group I4/mmm (No. 139)
One atom of each set of equivalent atoms:
Mg 0.0000 0.5000 0.2500 x4
Cu 0.0000 0.0000 0.1009 x4
Pt 0.0000 0.0000 0.5000 x2

Computed properties:
Relative energy among the computed polymorphs ... 2.39 eV per formula unit
Final energy ... -3.277 eV/atom

=====

Mg2CuPt: relaxed, PBE-GGA.

a b c (Å): 2.9973 4.5779 4.6162
angles (deg): 90.00 90.00 90.00
Space group Pmm2 (No. 25)
One atom of each set of equivalent atoms:
Mg 0.0000 0.0000 0.0000 x1
Mg 0.0000 0.5000 0.4480 x1
Cu 0.5000 0.0000 0.5117 x1
Pt 0.5000 0.5000 0.9419 x1

Computed properties:
Final energy ... -3.837 eV/atom

=====

Mg2CuPt: relaxed, PBE-GGA.

a b c (Å): 3.8716 3.8837 8.3657
angles (deg): 90.00 90.00 90.00
Space group Imm2 (No. 44)
One atom of each set of equivalent atoms:
Mg 0.0000 0.0000 0.0000 x2
Mg 0.0000 0.5000 0.2496 x2
Cu 0.0000 0.0000 0.4997 x2
Pt 0.0000 0.5000 0.7501 x2

Computed properties:
Final energy ... -3.810 eV/atom

=====

Mg2CuPt: relaxed, PBE-GGA.

a b c (Å): 6.3153 6.3153 6.3153
angles (deg): 90.00 90.00 90.00
Space group F-43m (No. 216)
One atom of each set of equivalent atoms:
Mg 0.0000 0.0000 0.0000 x4
Mg 0.2500 0.2500 0.2500 x4
Cu 0.0000 0.0000 0.5000 x4
Pt 0.2500 0.2500 0.7500 x4

Computed properties:
Final energy ... -3.750 eV/atom

=====

Mg2CuPt: relaxed, PBE-GGA.

a b c (Å): 2.9012 4.0241 5.5420
angles (deg): 90.00 90.00 90.00
Space group Pmm2 (No. 25)
One atom of each set of equivalent atoms:
Mg 0.0000 0.0000 0.0000 x1
Mg 0.5000 0.5000 0.3167 x1
Cu 0.5000 0.5000 0.7893 x1
Pt 0.0000 0.0000 0.5160 x1

Computed properties:
Final energy ... -3.699 eV/atom

=====

Mg2Cu2Pt: relaxed, PBE-GGA.

a b c (Å): 7.2404 7.2404 2.9446
angles (deg): 90.00 90.00 90.00
Space group P4/mbm (No. 127)
One atom of each set of equivalent atoms:
Mg 0.1634 0.3366 0.0000 x4
Cu 0.1314 0.6314 0.5000 x4
Pt 0.0000 0.0000 0.0000 x2

Computed properties:
Relative energy among the computed polymorphs ... 0.98 eV per formula unit
Final energy ... -3.559 eV/atom

=====

Mg4CuPt: relaxed, PBE-GGA.

a b c (Å): 6.4629 6.4629 5.3356
angles (deg): 90.00 90.00 90.00
Space group I422 (No. 97)
One atom of each set of equivalent atoms:
Mg 0.1703 0.3297 0.2500 x8
Cu 0.0000 0.0000 0.5000 x2
Pt 0.0000 0.0000 0.0000 x2

Computed properties:
Relative energy among the computed polymorphs ... 0.00 eV per formula unit
Final energy ... -3.181 eV/atom

=====

Mg2Cu3Pt4: relaxed, PBE-GGA.

a b c (Å): 8.5155 3.9671 8.1951
angles (deg): 90.00 107.64 90.00
Space group C2/m (No. 12)
One atom of each set of equivalent atoms:
Mg 0.1734 0.0000 0.2231 x4
Cu 0.0000 0.5000 0.0000 x2
Cu 0.1576 0.0000 0.5535 x4
Pt 0.0133 0.5000 0.3397 x4
Pt 0.1627 0.0000 0.8876 x4

Computed properties:
Final energy ... -4.858 eV/atom

=====

PuMgCuPt: relaxed, PBE-GGA.

a b c (Å): 6.7563 6.7563 6.7563
angles (deg): 90.00 90.00 90.00
Space group F-43m (No. 216)
One atom of each set of equivalent atoms:
Pu 0.0000 0.0000 0.0000 x4
Mg 0.0000 0.0000 0.5000 x4
Cu 0.2500 0.2500 0.2500 x4
Pt 0.2500 0.2500 0.7500 x4

Computed properties:
Final energy ... -6.881 eV/atom

=====

MgCuRe2Pt: relaxed, PBE-GGA.

a b c (Å): 4.8093 4.8093 4.6967
angles (deg): 90.00 90.00 90.00
Space group P4/mmm (No. 123)
One atom of each set of equivalent atoms:
Mg 0.0000 0.0000 0.0000 x1
Cu 0.5000 0.5000 0.0000 x1
Re 0.0000 0.5000 0.5000 x2
Pt 0.5000 0.5000 0.5000 x1

Computed properties:
Final energy ... -5.670 eV/atom

=====

For reference, DOS at the Fermi energy by record: 1.06; 2.95; 2.47; 1.31; 2.36; 1.30; 1.71; 3.99; 2.73; 1.97; 2.51; 1.97; 1.01; 1.07; 0.56; 5.42; 1.61; 0.87; 1.64; 1.29; 1.45; 1.60; 2.44; 2.75; 11.32; 5.24 states/eV/f.u..
For reference, ρ by record: 8.59; 5.00; 12.08; 4.75; 5.36; 10.09; 10.09; 14.00; 5.25; 6.59; 12.41; 7.71; 10.19; 8.60; 10.02; 13.13; 7.47; 8.05; 8.11; 8.10; 7.89; 7.98; 5.30; 12.83; 11.35; 10.02 g/cm3.